Cd2NiMo | PBEsol | relaxed

Calculated values
* ΔE_f: 0.49 eV/atom
* D(E_F): 7.4 states/eV/cell
* polymorph energy (0 for the lowest one): 130.9 meV per atom
* total magnetic moment: 1.18 μB per formula unit

Structure (CIF):
```
data_Cd2NiMo
_cell_length_a 4.138
_cell_length_b 4.138
_cell_length_c 7.470
_cell_angle_alpha 90.00
_cell_angle_beta 90.00
_cell_angle_gamma 90.00
_symmetry_space_group_name_H-M 'I -4 m 2'
_symmetry_Int_Tables_number 119
_symmetry_space_group_name_Hall 'I -4 -2'
loop_
_atom_site_label
_atom_site_fract_x
_atom_site_fract_y
_atom_site_fract_z
_atom_site_occupancy
Cd1 0.000 0.000 0.000 1
Cd2 0.000 0.500 0.250 1
Ni1 0.000 0.500 0.750 1
Mo1 0.000 0.000 0.500 1
```